Record 1
Nd3Tm6Mg | PBE | optimized geometry

The structure in POSCAR format:
```
Nd3Tm6Mg
1.0
11.019 0.000 0.000
0.000 5.043 0.000
-0.203 0.000 11.185
Nd Tm Mg
6 12 2
direct
0.051 0.250 0.401
0.154 0.750 0.205
0.254 0.250 0.004
0.746 0.750 0.996
0.846 0.250 0.795
0.949 0.750 0.599
0.053 0.750 0.898
0.157 0.250 0.701
0.261 0.750 0.504
0.350 0.750 0.806
0.359 0.250 0.309
0.453 0.750 0.103
0.547 0.250 0.897
0.641 0.750 0.691
0.650 0.250 0.194
0.739 0.250 0.496
0.843 0.750 0.299
0.947 0.250 0.102
0.448 0.250 0.603
0.552 0.750 0.397
```

SG	No. 11
formation enthalpy at 0 K	30	kJ/mol of formula units
Fermi-level density of states	29.7	states/eV/cell
E_tot	-4.242	eV per atom
crystal system	monoclinic



Record 2
NdTmMg4 | PBE | optimized geometry

The structure in POSCAR format:
```
NdTmMg4
1.0
3.322 0.000 0.000
0.002 5.248 0.000
0.024 0.003 9.103
Nd Tm Mg
1 1 4
direct
0.000 0.000 0.000
0.000 0.500 0.500
0.499 0.002 0.662
0.500 0.499 0.173
0.500 0.501 0.827
0.501 0.998 0.338
```

polymorph energy (0 for the lowest one)	0	meV per atom
SG	No. 2
formation enthalpy at 0 K	-44	kJ/mol of formula units
Fermi-level density of states	4.0	states/eV/cell
E_tot	-2.680	eV per atom
crystal system	triclinic



Record 3
Nd3TmMg3 | PBE | optimized geometry

The structure in POSCAR format:
```
Nd3TmMg3
1.0
5.398 -5.649 0.000
5.398 5.649 0.000
0.000 0.000 7.144
Nd Tm Mg
6 2 6
direct
0.000 0.000 0.247
0.000 0.000 0.753
0.000 0.500 0.253
0.000 0.500 0.747
0.500 0.000 0.253
0.500 0.000 0.747
0.309 0.309 0.000
0.691 0.691 0.000
0.258 0.742 0.000
0.283 0.283 0.500
0.313 0.687 0.500
0.687 0.313 0.500
0.717 0.717 0.500
0.742 0.258 0.000
```

SG	No. 65
formation enthalpy at 0 K	46	kJ/mol of formula units
Fermi-level density of states	10.3	states/eV/cell
E_tot	-3.298	eV per atom
crystal system	orthorhombic



Record 4
Nd2Tm3Mg2 | PBE | optimized geometry

The structure in POSCAR format:
```
Nd2Tm3Mg2
1.0
1.752 -17.182 0.000
1.752 17.182 0.000
0.000 0.000 3.477
Nd Tm Mg
2 3 2
direct
0.204 0.796 0.000
0.796 0.204 0.000
0.070 0.930 0.000
0.500 0.500 0.500
0.930 0.070 0.000
0.365 0.635 0.500
0.635 0.365 0.500
```

SG	No. 65
formation enthalpy at 0 K	20	kJ/mol of formula units
Fermi-level density of states	8.4	states/eV/cell
E_tot	-3.705	eV per atom
crystal system	orthorhombic



Record 5
Nd8Tm2Mg | PBE | optimized geometry

The structure in POSCAR format:
```
Nd8Tm2Mg
1.0
5.960 -5.739 0.000
5.960 5.739 0.000
-1.351 0.000 5.859
Nd Tm Mg
8 2 1
direct
0.081 0.081 0.293
0.153 0.631 0.223
0.229 0.229 0.912
0.369 0.847 0.777
0.631 0.153 0.223
0.771 0.771 0.088
0.847 0.369 0.777
0.919 0.919 0.707
0.367 0.367 0.512
0.633 0.633 0.488
0.500 0.500 0.000
```

polymorph energy (0 for the lowest one)	230	meV per atom
SG	No. 12
formation enthalpy at 0 K	396	kJ/mol of formula units
Fermi-level density of states	14.4	states/eV/cell
E_tot	-4.052	eV per atom
crystal system	monoclinic



Record 6
Nd2Tm5Mg | PBE | optimized geometry

The structure in POSCAR format:
```
Nd2Tm5Mg
1.0
-3.483 3.483 5.031
3.483 -3.483 5.031
3.483 3.483 -5.031
Nd Tm Mg
2 5 1
direct
0.000 0.500 0.500
0.500 0.000 0.500
0.000 0.000 0.000
0.000 0.000 0.500
0.000 0.500 0.000
0.500 0.000 0.000
0.500 0.500 0.500
0.500 0.500 0.000
```

SG	No. 139
formation enthalpy at 0 K	19	kJ/mol of formula units
Fermi-level density of states	10.2	states/eV/cell
E_tot	-4.162	eV per atom
crystal system	tetragonal